(1)
CeZn2Au5: relaxed, GGA-PBE.

a b c (Å): 4.074 6.999 11.453
angles (deg): 90.00 90.00 90.00
Space group Immm (No. 71)
One atom of each set of equivalent atoms:
Ce 0.000 0.000 0.000 (multiplicity 2)
Zn 0.000 0.500 0.233 (multiplicity 4)
Au 0.000 0.216 0.371 (multiplicity 8)
Au 0.000 0.500 0.000 (multiplicity 2)

Summary:
calculated formation energy: -0.320 eV per atom

---

(2)
ZrBeSCl2: relaxed, GGA-PBE.

a b c (Å): 4.254 4.254 4.878
angles (deg): 90.00 90.00 90.00
Space group P4/mmm (No. 123)
One atom of each set of equivalent atoms:
Zr 0.000 0.000 0.000 (multiplicity 1)
Be 0.500 0.500 0.500 (multiplicity 1)
S 0.500 0.500 0.000 (multiplicity 1)
Cl 0.000 0.500 0.500 (multiplicity 2)

Summary:
polymorph energy (0 for the lowest one): 0.0 meV/atom
formation energy without anion corrections: -0.436 eV per atom

---

(3)
Ba2MgIr: relaxed, GGA-PBE.

a b c (Å): 7.551 7.554 4.377
angles (deg): 90.00 90.15 90.00
Space group C2/m (No. 12)
One atom of each set of equivalent atoms:
Ba 0.250 0.250 0.000 (multiplicity 4)
Mg 0.000 0.000 0.500 (multiplicity 2)
Ir 0.000 0.500 0.500 (multiplicity 2)

Summary:
calculated formation energy: 0.165 eV per atom

---

Q: Which total DFT energy (no corrections) values were calculated for the entries above? A: -3.429, -4.455, -3.410, in eV per atom.